(1)
This record from the Alexandria database describes a crystal of CaMgPb2 relaxed with PBEsol. The functional is SCAN.

CIF file:
```
data_CaMgPb2
_chemical_formula_sum 'Ca1 Mg1 Pb2'
_space_group_name_H-M_alt 'P 4/m m m'
_space_group_IT_number 123
_space_group_name_Hall '-P 4 2'
_cell_length_a 4.8863
_cell_length_b 4.8863
_cell_length_c 4.4765
_cell_angle_alpha 90.00
_cell_angle_beta 90.00
_cell_angle_gamma 90.00
loop_
_atom_site_label
_atom_site_fract_x
_atom_site_fract_y
_atom_site_fract_z
Ca1 0.0000 0.0000 0.0000
Mg1 0.5000 0.5000 0.0000
Pb1 0.0000 0.5000 0.5000
```

***

(2)
This record from the Alexandria database describes a crystal of Zr2AgAu relaxed with PBEsol. The functional is SCAN.

CIF file:
```
data_Zr2AgAu
_chemical_formula_sum 'Zr2 Ag1 Au1'
_space_group_name_H-M_alt 'P 4 m m'
_space_group_IT_number 99
_space_group_name_Hall 'P 4 -2'
_cell_length_a 3.4701
_cell_length_b 3.4701
_cell_length_c 6.3876
_cell_angle_alpha 90.00
_cell_angle_beta 90.00
_cell_angle_gamma 90.00
loop_
_atom_site_label
_atom_site_fract_x
_atom_site_fract_y
_atom_site_fract_z
Zr1 0.0000 0.0000 0.0000
Zr2 0.5000 0.5000 0.2948
Ag1 0.0000 0.0000 0.5329
Au1 0.5000 0.5000 0.7719
```

***

How do the records compare in energy of formation? In the order shown, they have -0.480, -0.463 eV per atom.
How do the records compare in N(E_F)? In the order shown, they have 1.6, 2.0 states/eV per cell.
How do the records compare in final energy? In the order shown, they have -42.030, -40.944 eV per atom.